# 1
Below is In5Cl9 after structural relaxation, with properties calculated at the PBE-GGA level.

Structure (POSCAR):
```
In5Cl9
1.0
6.316 3.647 6.160
-6.316 3.647 6.160
0.000 -7.293 6.160
In Cl
10 18
direct
0.052 0.750 0.448
0.150 0.150 0.150
0.250 0.552 0.948
0.350 0.350 0.350
0.448 0.052 0.750
0.552 0.948 0.250
0.650 0.650 0.650
0.750 0.448 0.052
0.850 0.850 0.850
0.948 0.250 0.552
0.076 0.920 0.725
0.080 0.275 0.924
0.095 0.405 0.250
0.225 0.420 0.576
0.250 0.095 0.405
0.275 0.924 0.080
0.405 0.250 0.095
0.420 0.576 0.225
0.424 0.775 0.580
0.576 0.225 0.420
0.580 0.424 0.775
0.595 0.750 0.905
0.725 0.076 0.920
0.750 0.905 0.595
0.775 0.580 0.424
0.905 0.595 0.750
0.920 0.725 0.076
0.924 0.080 0.275
```

magnetization	0.00	Bohr magnetons per cell
formation energy without anion corrections	-13.596	eV per formula unit
V	30.40	A^3/atom


# 2
Below is ZnGa2SiHg after structural relaxation, with properties calculated at the PBE-GGA level.

Structure (POSCAR):
```
ZnGa2SiHg
1.0
4.927 0.000 0.000
0.000 4.927 0.000
0.000 0.000 4.727
Zn Ga Si Hg
1 2 1 1
direct
0.000 0.000 0.000
0.000 0.500 0.000
0.500 0.000 0.000
0.000 0.000 0.500
0.500 0.500 0.500
```

magnetization	0.00	Bohr magnetons per cell
formation energy without anion corrections	2.296	eV per formula unit
V	22.94	A^3/atom


# 3
Below is Cr2NiIr8 after structural relaxation, with properties calculated at the PBE-GGA level.

Structure (POSCAR):
```
Cr2NiIr8
1.0
6.862 -1.898 0.000
6.862 1.898 0.000
-1.583 0.000 5.823
Cr Ni Ir
2 1 8
direct
0.231 0.231 0.144
0.769 0.769 0.856
0.500 0.500 0.500
0.045 0.045 0.229
0.141 0.141 0.693
0.318 0.318 0.596
0.403 0.403 0.040
0.597 0.597 0.960
0.682 0.682 0.404
0.859 0.859 0.307
0.955 0.955 0.771
```

ΔH_f (0 K)	-0.11	eV per atom
magnetization	0.82	Bohr magnetons per cell
V	13.79	A^3/atom


# 4
Below is Dy3PuS6 after structural relaxation, with properties calculated at the PBE-GGA level.

Structure (POSCAR):
```
Dy3PuS6
1.0
11.065 0.000 0.000
0.000 3.969 0.000
-3.587 0.000 10.670
Dy Pu S
6 2 12
direct
0.066 0.250 0.167
0.180 0.750 0.503
0.341 0.250 0.917
0.659 0.750 0.083
0.820 0.250 0.497
0.934 0.750 0.833
0.453 0.250 0.313
0.547 0.750 0.687
0.022 0.250 0.388
0.102 0.250 0.936
0.243 0.750 0.276
0.308 0.750 0.751
0.386 0.250 0.540
0.418 0.750 0.099
0.582 0.250 0.901
0.614 0.750 0.460
0.692 0.250 0.249
0.757 0.250 0.724
0.898 0.750 0.064
0.978 0.750 0.612
```

magnetization	10.00	Bohr magnetons per cell
formation energy without anion corrections	-19.622	eV per formula unit
V	23.43	A^3/atom


# 5
Below is La5PdS8 after structural relaxation, with properties calculated at the PBE-GGA level.

Structure (POSCAR):
```
La5PdS8
1.0
-4.295 4.295 4.444
4.295 -4.295 4.444
4.295 4.295 -4.444
La Pd S
5 1 8
direct
0.000 0.000 0.000
0.254 0.642 0.119
0.358 0.477 0.612
0.523 0.135 0.881
0.865 0.746 0.388
0.750 0.250 0.500
0.090 0.233 0.747
0.160 0.762 0.769
0.238 0.007 0.398
0.486 0.342 0.253
0.609 0.840 0.602
0.658 0.910 0.143
0.767 0.514 0.857
0.993 0.391 0.231
```

magnetization	0.00	Bohr magnetons per cell
formation energy without anion corrections	-26.489	eV per formula unit
V	23.42	A^3/atom


# 6
Below is AgPd6Se8 after structural relaxation, with properties calculated at the PBE-GGA level.

Structure (POSCAR):
```
AgPd6Se8
1.0
4.910 2.835 3.810
-4.910 2.835 3.810
0.000 -5.670 3.810
Ag Pd Se
1 6 8
direct
0.000 0.000 0.000
0.188 0.553 0.416
0.416 0.188 0.553
0.447 0.584 0.812
0.553 0.416 0.188
0.584 0.812 0.447
0.812 0.447 0.584
0.151 0.354 0.737
0.232 0.232 0.232
0.263 0.849 0.646
0.354 0.737 0.151
0.646 0.263 0.849
0.737 0.151 0.354
0.768 0.768 0.768
0.849 0.646 0.263
```

magnetization	0.00	Bohr magnetons per cell
formation energy without anion corrections	-3.122	eV per formula unit
V	21.22	A^3/atom


# 7
Below is La2NiCS after structural relaxation, with properties calculated at the PBE-GGA level.

Structure (POSCAR):
```
La2NiCS
1.0
5.247 0.000 0.000
0.000 5.247 0.000
0.000 0.000 3.655
La Ni C S
2 1 1 1
direct
0.000 0.500 0.000
0.500 0.000 0.000
0.000 0.000 0.500
0.000 0.000 0.000
0.500 0.500 0.500
```

magnetization	0.00	Bohr magnetons per cell
formation energy without anion corrections	-4.358	eV per formula unit
V	20.12	A^3/atom


# 8
Below is KNi4Sn12 after structural relaxation, with properties calculated at the PBE-GGA level.

Structure (POSCAR):
```
KNi4Sn12
1.0
-4.659 4.659 4.659
4.659 -4.659 4.659
4.659 4.659 -4.659
K Ni Sn
1 4 12
direct
0.000 0.000 0.000
0.000 0.000 0.500
0.000 0.500 0.000
0.500 0.000 0.000
0.500 0.500 0.500
0.168 0.337 0.831
0.169 0.506 0.337
0.169 0.832 0.663
0.337 0.169 0.506
0.337 0.831 0.168
0.494 0.663 0.831
0.506 0.337 0.169
0.663 0.169 0.832
0.663 0.831 0.494
0.831 0.168 0.337
0.831 0.494 0.663
0.832 0.663 0.169
```

ΔH_f (0 K)	-0.13	eV per atom
magnetization	0.00	Bohr magnetons per cell
V	23.80	A^3/atom


# 9
Below is Ba2CdSn3Pt4 after structural relaxation, with properties calculated at the PBE-GGA level.

Structure (POSCAR):
```
Ba2CdSn3Pt4
1.0
4.828 0.000 0.000
0.000 4.828 0.000
0.000 0.000 10.664
Ba Cd Sn Pt
2 1 3 4
direct
0.000 0.500 0.247
0.500 0.000 0.753
0.000 0.000 0.500
0.000 0.500 0.882
0.500 0.000 0.118
0.500 0.500 0.500
0.000 0.000 0.000
0.000 0.500 0.629
0.500 0.000 0.371
0.500 0.500 0.000
```

ΔH_f (0 K)	-0.74	eV per atom
magnetization	0.00	Bohr magnetons per cell
V	24.86	A^3/atom


# 10
Below is Tc2HSe after structural relaxation, with properties calculated at the PBE-GGA level.

Structure (POSCAR):
```
Tc2HSe
1.0
0.000 2.920 2.920
2.920 0.000 2.920
2.920 2.920 0.000
Tc H Se
2 1 1
direct
0.250 0.250 0.250
0.750 0.750 0.750
0.000 0.000 0.000
0.500 0.500 0.500
```

magnetization	0.00	Bohr magnetons per cell
V	12.45	A^3/atom
energy	-6.286	eV per atom


# 11
Below is Ba2Tl7In after structural relaxation, with properties calculated at the PBE-GGA level.

Structure (POSCAR):
```
Ba2Tl7In
1.0
5.297 0.000 0.000
0.000 5.297 0.000
0.000 0.000 12.375
Ba Tl In
2 7 1
direct
0.000 0.500 0.245
0.500 0.000 0.755
0.000 0.000 0.000
0.000 0.000 0.500
0.000 0.500 0.632
0.000 0.500 0.872
0.500 0.000 0.128
0.500 0.000 0.368
0.500 0.500 0.500
0.500 0.500 0.000
```

ΔH_f (0 K)	-0.22	eV per atom
magnetization	0.00	Bohr magnetons per cell
V	34.73	A^3/atom


# 12
Below is YCr2AgN after structural relaxation, with properties calculated at the PBE-GGA level.

Structure (POSCAR):
```
YCr2AgN
1.0
4.551 0.000 0.000
0.000 4.551 0.000
0.000 0.000 5.238
Y Cr Ag N
1 2 1 1
direct
0.000 0.000 0.000
0.000 0.500 0.000
0.500 0.000 0.000
0.000 0.000 0.500
0.500 0.500 0.500
```

magnetization	0.00	Bohr magnetons per cell
formation energy without anion corrections	16.167	eV per formula unit
V	21.70	A^3/atom


# 13
Below is MgAs after structural relaxation, with properties calculated at the PBE-GGA level.

Structure (POSCAR):
```
MgAs
1.0
4.399 0.000 0.000
0.000 14.771 0.000
0.000 0.000 4.067
Mg As
6 6
direct
0.250 0.080 0.003
0.250 0.420 0.003
0.250 0.750 0.430
0.750 0.250 0.570
0.750 0.580 0.997
0.750 0.920 0.997
0.250 0.250 0.078
0.250 0.547 0.541
0.250 0.953 0.541
0.750 0.047 0.459
0.750 0.453 0.459
0.750 0.750 0.922
```

ΔH_f (0 K)	-0.31	eV per atom
magnetization	0.00	Bohr magnetons per cell
V	22.02	A^3/atom


# 14
Below is BaMn after structural relaxation, with properties calculated at the PBE-GGA level.

Structure (POSCAR):
```
BaMn
1.0
6.263 -1.918 0.000
6.263 1.918 0.000
-2.069 0.000 5.514
Ba Mn
2 2
direct
0.099 0.099 0.322
0.901 0.901 0.678
0.330 0.330 0.112
0.670 0.670 0.888
```

ΔH_f (0 K)	0.64	eV per atom
magnetization	7.43	Bohr magnetons per cell
V	33.13	A^3/atom


# 15
Below is TlNiBiS3 after structural relaxation, with properties calculated at the PBE-GGA level.

Structure (POSCAR):
```
TlNiBiS3
1.0
8.995 0.000 0.000
0.000 3.986 0.000
-1.947 0.000 8.941
Tl Ni Bi S
2 2 2 6
direct
0.203 0.250 0.163
0.797 0.750 0.837
0.425 0.750 0.921
0.575 0.250 0.079
0.151 0.250 0.653
0.849 0.750 0.347
0.150 0.750 0.422
0.162 0.750 0.866
0.487 0.250 0.836
0.513 0.750 0.164
0.838 0.250 0.134
0.850 0.250 0.578
```

magnetization	2.02	Bohr magnetons per cell
formation energy without anion corrections	-1.925	eV per formula unit
V	26.71	A^3/atom


# 16
Below is TiCu2HPd after structural relaxation, with properties calculated at the PBE-GGA level.

Structure (POSCAR):
```
TiCu2HPd
1.0
4.687 0.000 0.000
0.000 4.687 0.000
0.000 0.000 3.200
Ti Cu H Pd
1 2 1 1
direct
0.000 0.000 0.000
0.000 0.500 0.000
0.500 0.000 0.000
0.000 0.000 0.500
0.500 0.500 0.500
```

magnetization	0.87	Bohr magnetons per cell
V	14.06	A^3/atom
energy	-4.365	eV per atom


# 17
Below is Ac3Tb2PrY6 after structural relaxation, with properties calculated at the PBE-GGA level.

Structure (POSCAR):
```
Ac3Tb2PrY6
1.0
3.215 -5.569 0.000
3.215 5.569 0.000
-2.139 0.000 11.813
Ac Tb Pr Y
3 2 1 6
direct
0.000 0.000 0.000
0.333 0.667 0.000
0.667 0.333 0.000
0.167 0.833 0.500
0.833 0.167 0.500
0.500 0.500 0.500
0.085 0.419 0.257
0.247 0.247 0.743
0.419 0.085 0.257
0.581 0.915 0.743
0.753 0.753 0.257
0.915 0.581 0.743
```

ΔH_f (0 K)	0.04	eV per atom
magnetization	0.00	Bohr magnetons per cell
V	35.25	A^3/atom


# 18
Below is Sr3TlP after structural relaxation, with properties calculated at the PBE-GGA level.

Structure (POSCAR):
```
Sr3TlP
1.0
5.869 0.000 0.000
0.000 5.869 0.000
0.000 0.000 5.869
Sr Tl P
3 1 1
direct
0.000 0.000 0.500
0.000 0.500 0.000
0.500 0.000 0.000
0.500 0.500 0.500
0.000 0.000 0.000
```

ΔH_f (0 K)	-0.59	eV per atom
magnetization	0.00	Bohr magnetons per cell
V	40.43	A^3/atom


# 19
Below is Zr3Mn2Se8 after structural relaxation, with properties calculated at the PBE-GGA level.

Structure (POSCAR):
```
Zr3Mn2Se8
1.0
6.600 -3.924 0.000
6.600 3.924 0.000
-0.449 0.000 6.687
Zr Mn Se
3 2 8
direct
0.000 0.000 0.000
0.257 0.743 0.500
0.743 0.257 0.500
0.198 0.198 0.353
0.802 0.802 0.647
0.122 0.122 0.688
0.132 0.637 0.818
0.363 0.868 0.182
0.385 0.385 0.323
0.615 0.615 0.677
0.637 0.132 0.818
0.868 0.363 0.182
0.878 0.878 0.312
```

magnetization	9.90	Bohr magnetons per cell
formation energy without anion corrections	-12.962	eV per formula unit
V	26.64	A^3/atom


# 20
Below is Pr2ZnPd after structural relaxation, with properties calculated at the PBE-GGA level.

Structure (POSCAR):
```
Pr2ZnPd
1.0
3.713 0.000 0.000
0.000 3.713 0.000
0.000 0.000 7.250
Pr Zn Pd
2 1 1
direct
0.000 0.000 0.244
0.000 0.000 0.756
0.500 0.500 0.500
0.500 0.500 0.000
```

ΔH_f (0 K)	-0.50	eV per atom
magnetization	0.00	Bohr magnetons per cell
V	24.98	A^3/atom